1.
# LiYBePd2 PBE optimized geometry
# symmetry	P4/mmm
data_LiYBePd2
_chemical_formula_sum 'Li1 Y1 Be1 Pd2'
_cell_length_a 4.437
_cell_length_b 4.437
_cell_length_c 4.248
_cell_angle_alpha 90.00
_cell_angle_beta 90.00
_cell_angle_gamma 90.00
_space_group_name_H-M_alt 'P 1'
_space_group_IT_number 1
loop_
_space_group_symop_operation_xyz
'x,y,z'
loop_
_atom_site_label
_atom_site_type_symbol
_atom_site_fract_x
_atom_site_fract_y
_atom_site_fract_z
Y1 Y 0.500 0.500 0.500
Be1 Be 0.000 0.000 0.000
Pd1 Pd 0.000 0.500 0.000
Li1 Li 0.000 0.000 0.500
Pd2 Pd 0.500 0.000 0.000

***

2.
# Si3PPt2 PBE optimized geometry
# symmetry	Pm
data_Si3PPt2
_chemical_formula_sum 'Si6 P2 Pt4'
_cell_length_a 3.469
_cell_length_b 6.135
_cell_length_c 9.509
_cell_angle_alpha 94.41
_cell_angle_beta 90.00
_cell_angle_gamma 90.00
_space_group_name_H-M_alt 'P 1'
_space_group_IT_number 1
loop_
_space_group_symop_operation_xyz
'x,y,z'
loop_
_atom_site_label
_atom_site_type_symbol
_atom_site_fract_x
_atom_site_fract_y
_atom_site_fract_z
Pt1 Pt 0.000 0.038 0.263
Si1 Si 0.000 0.822 0.854
Si2 Si 0.500 0.177 0.804
Si3 Si 0.500 0.162 0.425
Si4 Si 0.500 0.513 0.559
Pt2 Pt 0.000 0.467 0.736
P1 P 0.000 0.647 0.353
Si5 Si 0.000 0.364 0.149
Si6 Si 0.500 0.725 0.201
Pt3 Pt 0.500 0.963 0.007
P2 P 0.000 0.060 0.652
Pt4 Pt 0.500 0.464 0.997

***

3.
# Dy2TlP PBE optimized geometry
# symmetry	R3m
data_Dy2TlP
_chemical_formula_sum 'Dy2 Tl1 P1'
_cell_length_a 3.877
_cell_length_b 3.877
_cell_length_c 8.448
_cell_angle_alpha 76.73
_cell_angle_beta 76.73
_cell_angle_gamma 60.00
_space_group_name_H-M_alt 'P 1'
_space_group_IT_number 1
loop_
_space_group_symop_operation_xyz
'x,y,z'
loop_
_atom_site_label
_atom_site_type_symbol
_atom_site_fract_x
_atom_site_fract_y
_atom_site_fract_z
P1 P 0.667 0.667 0.998
Dy1 Dy 0.267 0.267 0.198
Tl1 Tl 0.500 0.500 0.500
Dy2 Dy 0.065 0.065 0.804

***

4.
# AlRhF2 PBE optimized geometry
# symmetry	Fm-3m
data_AlRhF2
_chemical_formula_sum 'Al1 Rh1 F2'
_cell_length_a 4.155
_cell_length_b 4.155
_cell_length_c 4.155
_cell_angle_alpha 60.00
_cell_angle_beta 60.00
_cell_angle_gamma 60.00
_space_group_name_H-M_alt 'P 1'
_space_group_IT_number 1
loop_
_space_group_symop_operation_xyz
'x,y,z'
loop_
_atom_site_label
_atom_site_type_symbol
_atom_site_fract_x
_atom_site_fract_y
_atom_site_fract_z
F1 F 0.250 0.250 0.250
Rh1 Rh 0.500 0.500 0.500
F2 F 0.750 0.750 0.750
Al1 Al 0.000 0.000 0.000

***

5.
# Er6Zn5Ge PBE optimized geometry
# symmetry	P2/m
data_Er6Zn5Ge
_chemical_formula_sum 'Er6 Zn5 Ge1'
_cell_length_a 4.993
_cell_length_b 7.019
_cell_length_c 7.936
_cell_angle_alpha 90.00
_cell_angle_beta 71.72
_cell_angle_gamma 90.00
_space_group_name_H-M_alt 'P 1'
_space_group_IT_number 1
loop_
_space_group_symop_operation_xyz
'x,y,z'
loop_
_atom_site_label
_atom_site_type_symbol
_atom_site_fract_x
_atom_site_fract_y
_atom_site_fract_z
Er1 Er 0.834 0.749 0.331
Zn1 Zn 0.333 0.500 0.333
Zn2 Zn 0.667 0.500 0.667
Ge1 Ge 0.000 0.000 0.000
Er2 Er 0.166 0.251 0.669
Zn3 Zn 0.677 0.000 0.646
Er3 Er 0.500 0.246 0.000
Zn4 Zn 0.000 0.500 0.000
Er4 Er 0.166 0.749 0.669
Er5 Er 0.834 0.251 0.331
Er6 Er 0.500 0.754 0.000
Zn5 Zn 0.323 0.000 0.354

***

6.
# Ce2Zn7Pd PBE optimized geometry
# symmetry	P-4m2
data_Ce2Zn7Pd
_chemical_formula_sum 'Ce2 Zn7 Pd1'
_cell_length_a 4.306
_cell_length_b 4.306
_cell_length_c 10.249
_cell_angle_alpha 90.00
_cell_angle_beta 90.00
_cell_angle_gamma 90.00
_space_group_name_H-M_alt 'P 1'
_space_group_IT_number 1
loop_
_space_group_symop_operation_xyz
'x,y,z'
loop_
_atom_site_label
_atom_site_type_symbol
_atom_site_fract_x
_atom_site_fract_y
_atom_site_fract_z
Pd1 Pd 0.500 0.500 0.000
Zn1 Zn 0.000 0.500 0.630
Zn2 Zn 0.000 0.000 0.000
Zn3 Zn 0.500 0.500 0.500
Ce1 Ce 0.500 0.000 0.751
Ce2 Ce 0.000 0.500 0.249
Zn4 Zn 0.000 0.000 0.500
Zn5 Zn 0.000 0.500 0.868
Zn6 Zn 0.500 0.000 0.132
Zn7 Zn 0.500 0.000 0.370

***

Raw total energy values (in Ha/atom) by entry order: -0.18129 -0.21786 -0.19008 -0.16126 -0.13297 -0.10687.